The following is a PBE calculation of a relaxed structure of CaZn2CrNi, from Alexandria.

## Properties
The calculation puts the raw total energy at -3.606 eV/atom. The value obtained for the energy of formation is 385 meV per atom.

Cell lengths 4.808, 4.808, 4.359 Å; angles 90.00, 90.00, 90.00 degrees
Element x y z (fractional)
Ca 0.000 0.000 0.000
Zn 0.000 0.500 0.500
Zn 0.500 0.000 0.500
Cr 0.500 0.500 0.500
Ni 0.500 0.500 0.000